# CrAgIO2 GGA+U relaxed
# **V**: 20.78 Å³/atom
# **Space group**: P4/mmm
# **Energy above the most stable polymorph in this dataset**: 0 meV per atom
# **Mass density**: 5.095 g cm⁻³
# **Size of the total moment**: 0.431 μB/atom
data_CrAgIO2
_cell_length_a 3.853
_cell_length_b 3.853
_cell_length_c 6.998
_cell_angle_alpha 90.00
_cell_angle_beta 90.00
_cell_angle_gamma 90.00
_space_group_name_H-M_alt 'P 1'
_space_group_IT_number 1
_space_group_name_Hall 'P 1'
loop_
_atom_site_label
_atom_site_type_symbol
_atom_site_fract_x
_atom_site_fract_y
_atom_site_fract_z
_atom_site_occupancy
Cr1 Cr 0.000 0.000 0.000 1
Ag1 Ag 0.500 0.500 0.500 1
I1 I 0.000 0.000 0.500 1
O1 O 0.000 0.500 0.000 1
O2 O 0.500 0.000 0.000 1